Record 1
Fe2TeRu (PBE-GGA, optimized geometry); formation energy (no corrections) = 0.28 eV/atom; space group = P4mm
1.0
-3.0669 0.7769 0.1386
-0.7222 -2.5389 -1.7496
-0.6013 -3.2633 4.9836
Fe Ru Te
2 1 1
direct
0.5000 0.5000 0.2322
0.0000 0.0000 0.0233
0.0000 0.0000 0.4886
0.5000 0.5000 0.7558

Record 2
Fe2TeRu (PBE-GGA, optimized geometry); formation energy (no corrections) = 0.40 eV/atom; space group = Pmmm
1.0
-0.2784 -3.2244 1.1066
2.5805 -0.9194 -2.0296
3.4299 1.0390 3.8903
Ru Fe Te
1 2 1
direct
0.5000 0.5000 0.2500
0.0000 0.0000 0.4895
0.0000 0.0000 0.0105
0.5000 0.5000 0.7500

Record 3
Fe2TeRu (PBE-GGA, optimized geometry); formation energy (no corrections) = 0.33 eV/atom; space group = Immm
1.0
5.0405 -0.0671 -0.0189
3.9013 3.1924 -0.0189
1.6700 0.5837 3.6708
Fe Ru Te
2 1 1
direct
0.0010 0.0010 0.9989
0.4990 0.4990 0.5011
0.2500 0.2500 0.2500
0.7500 0.7500 0.7500

Record 4
Fe2TeRu (PBE-GGA, optimized geometry); formation energy (no corrections) = 0.41 eV/atom; space group = Cmmm
1.0
6.1530 0.0201 0.0542
-2.2310 3.8308 0.0257
1.6910 0.9644 2.5986
Fe Ru Te
2 1 1
direct
0.5000 0.0000 0.5000
0.0000 0.0000 0.0000
0.0000 0.5000 0.5000
0.5000 0.5000 0.0000

Record 5
Fe3TeRu (PBE-GGA, optimized geometry); formation energy (no corrections) = 1.19 eV/atom; space group = Pm-3m
1.0
-2.4685 -0.0838 3.9195
3.6677 -1.6853 2.2739
1.3847 4.3146 0.9643
Ru Fe Te
1 3 1
direct
0.0000 0.0000 0.0000
0.5000 0.0000 0.0000
0.0000 0.5000 0.0000
0.0000 0.0000 0.5000
0.5000 0.5000 0.5000

Record 6
FeTeRu4 (PBE-GGA, optimized geometry); formation energy (no corrections) = 0.70 eV/atom; space group = F-43m
1.0
3.4597 3.3065 1.9728
-1.5618 3.8263 3.1167
1.1348 -0.1476 5.0482
Ru Fe Te
4 1 1
direct
0.3746 0.3746 0.3746
0.3746 0.3746 0.8761
0.8761 0.3746 0.3746
0.3746 0.8761 0.3746
0.0000 0.0000 0.0000
0.7500 0.7500 0.7500

Record 7
Fe2TeRu (PBE-GGA, optimized geometry); formation energy (no corrections) = 0.58 eV/atom; space group = R-3m
1.0
-8.0172 0.4728 -1.0743
-7.2902 -1.6814 -3.1110
-7.7266 -2.4327 -0.1849
Fe Te Ru
2 1 1
direct
0.9945 0.9945 0.9945
0.5055 0.5055 0.5055
0.7500 0.7500 0.7500
0.2500 0.2500 0.2500

Record 8
Fe2TeRu2 (PBE-GGA, optimized geometry); formation energy (no corrections) = 0.47 eV/atom; space group = P4/mbm
1.0
7.2563 0.0000 0.0000
0.0000 7.2563 0.0000
0.0000 0.0000 2.9031
Ru Fe Te
4 4 2
direct
0.3612 0.1388 0.5000
0.6388 0.8612 0.5000
0.1388 0.6388 0.5000
0.8612 0.3612 0.5000
0.1481 0.3519 0.0000
0.3519 0.8519 0.0000
0.6481 0.1481 0.0000
0.8519 0.6481 0.0000
0.5000 0.5000 0.0000
0.0000 0.0000 0.0000

Record 9
FeTe4Ru (PBE-GGA, optimized geometry); formation energy (no corrections) = 1.41 eV/atom; space group = F-43m
1.0
0.0000 4.3578 4.3578
4.3578 0.0000 4.3578
4.3578 4.3578 0.0000
Ru Te Fe
1 4 1
direct
0.0000 0.0000 0.0000
0.8753 0.3749 0.3749
0.3749 0.3749 0.3749
0.3749 0.3749 0.8753
0.3749 0.8753 0.3749
0.7500 0.7500 0.7500

Record 10
Fe2TeRu (PBE-GGA, optimized geometry); formation energy (no corrections) = 0.27 eV/atom; space group = I-4m2
1.0
-2.1196 -1.1143 -3.6490
1.6621 -3.0239 -2.6727
-1.8903 -3.8968 -0.2999
Fe Te Ru
2 1 1
direct
0.0001 0.0001 0.9997
0.2498 0.2498 0.2504
0.7504 0.7504 0.7493
0.4997 0.4997 0.5007

Record 11
Fe2TeRu (PBE-GGA, optimized geometry); formation energy (no corrections) = 0.88 eV/atom; space group = I-42d
1.0
-4.4757 3.0138 0.6186
-2.9748 -4.5178 0.4874
-2.9446 -0.6896 5.8965
Fe Ru Te
4 2 2
direct
0.8750 0.8398 0.7500
0.3750 0.4102 0.7500
0.1602 0.6250 0.2500
0.5898 0.1250 0.2500
0.2500 0.7500 0.5000
0.5000 0.5000 0.0000
0.0000 0.0000 0.0000
0.7500 0.2500 0.5000

Record 12
Fe2TeRu (PBE-GGA, optimized geometry); formation energy (no corrections) = 0.34 eV/atom; space group = Pmm2
1.0
-0.1270 3.7664 -2.1344
-1.1371 -1.4976 -2.5752
-4.0915 0.6655 1.4178
Ru Fe Te
1 2 1
direct
0.0000 0.6250 0.4558
0.5000 0.1251 0.2655
0.0000 0.1249 0.9859
0.5000 0.6250 0.7928

Record 13
Fe2TeRu (PBE-GGA, optimized geometry); formation energy (no corrections) = 0.45 eV/atom; space group = P2/m
1.0
-1.0088 4.2613 -0.0978
-0.6408 -0.0843 2.9371
4.5200 1.0948 1.0796
Te Fe Ru
1 2 1
direct
0.5000 0.7500 0.7500
0.0000 0.5823 0.4715
0.0000 0.9177 0.0285
0.5000 0.2500 0.2500

Record 14
Fe2TeRu (PBE-GGA, optimized geometry); formation energy (no corrections) = 0.32 eV/atom; space group = Pmmm
1.0
-0.3835 0.4361 3.2115
-0.4706 -4.2449 0.5202
4.1800 -0.3957 0.5529
Ru Fe Te
1 2 1
direct
0.5000 0.0000 0.5000
0.0000 0.0000 0.0000
0.5000 0.5000 0.0000
0.0000 0.5000 0.5000

Record 15
Fe2TeRu (PBE-GGA, optimized geometry); formation energy (no corrections) = 0.49 eV/atom; space group = R3m
1.0
7.9673 -0.0064 -0.0038
7.3806 3.0008 -0.0038
7.3806 1.4400 2.6327
Ru Te Fe
1 1 2
direct
0.5046 0.5046 0.5046
0.7487 0.7487 0.7487
0.9941 0.9941 0.9941
0.2526 0.2526 0.2526

Record 16
Fe2TeRu2 (PBE-GGA, optimized geometry); formation energy (no corrections) = 0.52 eV/atom; space group = I4/mmm
1.0
-3.6503 0.3226 0.3503
-0.2563 -3.6131 0.6567
-1.3117 -0.6432 6.2671
Ru Te Fe
2 1 2
direct
0.7500 0.2500 0.5000
0.2500 0.7500 0.5000
0.0000 0.0000 0.0000
0.6058 0.6058 0.7883
0.3942 0.3942 0.2117

Record 17
Th4FeRu (PBE-GGA, optimized geometry); ΔH_f (0 K) = -216 meV/atom; space group = P2_1/m
1.0
5.9773 0.0000 -1.6318
0.0000 6.8926 0.0000
-1.8045 0.0000 8.0295
Ru Th Fe
2 8 2
direct
0.6639 0.7500 0.9514
0.3361 0.2500 0.0486
0.2395 0.9980 0.7413
0.2395 0.5020 0.7413
0.7605 0.0020 0.2587
0.3388 0.2500 0.3968
0.7605 0.4980 0.2587
0.1813 0.7500 0.1169
0.6612 0.7500 0.6032
0.8187 0.2500 0.8831
0.1511 0.7500 0.4492
0.8489 0.2500 0.5508

Record 18
ThFe4Ru (PBE-GGA, optimized geometry); ΔH_f (0 K) = 60 meV/atom; space group = F-43m
1.0
5.0413 0.0000 0.0000
2.5206 4.3659 0.0000
2.5206 1.4553 4.1162
Ru Th Fe
1 1 4
direct
0.2500 0.2500 0.2500
0.0000 0.0000 0.0000
0.6243 0.6243 0.6243
0.6243 0.1272 0.6243
0.6243 0.6243 0.1272
0.1272 0.6243 0.6243

Record 19
Th8Fe2Ru (PBE-GGA, optimized geometry); ΔH_f (0 K) = -13 meV/atom; space group = Cm
1.0
-2.9884 5.2386 1.3706
-1.9248 -4.3085 6.0860
7.2032 2.6530 -0.6195
Th Fe Ru
8 2 1
direct
0.8011 0.6482 0.6482
0.3673 0.6413 0.8985
0.5893 0.3708 0.1061
0.9764 0.7736 0.1885
0.1627 0.3544 0.3544
0.9764 0.1885 0.7736
0.3673 0.8985 0.6413
0.5893 0.1061 0.3708
0.4845 0.3226 0.7225
0.4845 0.7225 0.3226
0.2006 0.0074 0.0074

Record 20
Th2FeRu (PBE-GGA, optimized geometry); ΔH_f (0 K) = 431 meV/atom; space group = R-3m
1.0
3.8497 0.0000 0.0000
1.9248 3.3339 0.0000
1.9248 1.1113 8.4507
Fe Th Ru
1 2 1
direct
0.0000 0.0000 0.0000
0.0993 0.0993 0.7021
0.9007 0.9007 0.2979
0.5000 0.5000 0.5000

For the records above, the corresponding DOS(E_F) values read 3.108, 3.748, 3.194, 5.018, 7.580, 8.850, 3.598, 6.293, 9.789, 2.913, 4.659, 3.373, 3.327, 3.230, 4.514, 5.772, 7.527, 8.260, 15.230, 3.579 states/eV/f.u..